This record from Alexandria via LeMat-Bulk describes a relaxed structure of K2YNi3F12. The functional is GGA+U.

POSCAR file:
```
K2YNi3F12
1.0
-2.202 -6.879 -1.194
2.735 -5.438 4.067
-4.266 -3.345 4.920
Y K Ni F
1 2 3 12
Cartesian
0.000 0.000 0.000
-1.410 -5.915 2.943
-2.323 -9.746 4.850
-2.133 -1.672 2.460
1.368 -2.719 2.034
-1.101 -3.440 -0.597
-1.086 -12.289 4.386
-2.183 -10.412 7.633
-4.288 -7.658 2.979
-1.550 -5.250 0.161
-0.011 -8.936 2.458
-2.461 -8.884 1.601
-2.646 -3.373 3.408
1.072 -4.485 2.955
-4.805 -11.177 4.839
-3.722 -6.725 5.335
-1.272 -6.777 6.193
0.555 -8.004 4.814
```

Computed properties:
The value obtained for the total energy is -4.793 eV/atom. Its space-group type is R-3m (166).